The following is a GGA-PBE calculation of an optimized crystal structure of Ba4LiSm3O8, from the Alexandria database.

Output
DOS(E_F), states/eV per cell: 5.161
DFT total energy, eV per atom: -6.550
Formation energy (no corrections), eV per atom: -2.59

abc: 7.2625 7.5201 7.2629
angles: 118.87 120.00 90.00
Last column: nearest neighbours and their distance in Å.
Fractional positions:
O 0.7334 0.7003 0.4669  3 Sm 2.44
O 0.7201 0.7050 0.9625  2 Sm 2.42, 1 Li 2.54
O 0.2799 0.2950 0.0375  2 Sm 2.42, 1 Li 2.54
O 0.7575 0.2950 0.5150  2 Sm 2.42, 1 Li 2.54
O 0.2666 0.2997 0.5331  3 Sm 2.44
O 0.7576 0.2950 0.0375  2 Sm 2.42, 1 Li 2.54
O 0.2425 0.7050 0.4850  2 Sm 2.42, 1 Li 2.54
O 0.2424 0.7050 0.9625  2 Sm 2.42, 1 Li 2.54
Ba 0.5000 0.0000 0.5000  6 O 2.81-2.83
Ba 0.0000 0.0000 0.0000  6 O 2.81-2.83
Ba 0.5000 0.0000 0.0000  6 O 2.72
Ba 0.0000 0.0000 0.5000  6 O 2.81-2.83
Sm 0.5000 0.5000 0.0000  6 O 2.42-2.44
Sm 0.5000 0.5000 0.5000  6 O 2.42-2.44
Sm 0.0000 0.5000 0.5000  6 O 2.42-2.44
Li 0.0000 0.5000 0.0000  6 O 2.54